P) ! Mn2B2Os, relaxed, DFT PBE; values from VASP
! Size of the total moment: 0.0 μB/f.u.
&SYSTEM
  ibrav = 0, nat = 10, ntyp = 3
/
ATOMIC_SPECIES
Mn 54.94 Mn.upf
B 10.81 B.upf
Os 190.23 Os.upf
CELL_PARAMETERS angstrom
6.233 0.000 0.000
0.000 6.233 0.000
0.000 0.000 2.528
ATOMIC_POSITIONS crystal
Mn 0.124 0.376 0.000
Mn 0.376 0.876 0.000
Mn 0.624 0.124 0.000
Mn 0.876 0.624 0.000
B 0.172 0.672 0.500
B 0.328 0.172 0.500
B 0.672 0.828 0.500
B 0.828 0.328 0.500
Os 0.000 0.000 0.000
Os 0.500 0.500 0.000


Q) ! Mn2B2Os, relaxed, DFT PBE; values from VASP
! Size of the total moment: 0.6 μB/f.u.
&SYSTEM
  ibrav = 0, nat = 10, ntyp = 3
/
ATOMIC_SPECIES
Mn 54.94 Mn.upf
B 10.81 B.upf
Os 190.23 Os.upf
CELL_PARAMETERS angstrom
5.799 0.000 0.000
0.000 5.799 0.000
0.000 0.000 2.782
ATOMIC_POSITIONS crystal
Mn 0.159 0.341 0.000
Mn 0.341 0.841 0.000
Mn 0.659 0.159 0.000
Mn 0.841 0.659 0.000
B 0.120 0.620 0.500
B 0.380 0.120 0.500
B 0.620 0.880 0.500
B 0.880 0.380 0.500
Os 0.000 0.000 0.500
Os 0.500 0.500 0.500


The structure with the greatest stability is Q).


P) ! MnB3Os, relaxed, DFT PBE; values from VASP
! Size of the total moment: 0.6 μB/f.u.
&SYSTEM
  ibrav = 0, nat = 5, ntyp = 3
/
ATOMIC_SPECIES
Mn 54.94 Mn.upf
B 10.81 B.upf
Os 190.23 Os.upf
CELL_PARAMETERS angstrom
3.693 0.000 0.000
0.000 3.693 0.000
0.000 0.000 3.693
ATOMIC_POSITIONS crystal
Mn 0.000 0.000 0.000
B 0.000 0.000 0.500
B 0.000 0.500 0.000
B 0.500 0.000 0.000
Os 0.500 0.500 0.500


Q) ! MnB3Os, relaxed, DFT PBE; values from VASP
! Size of the total moment: 0.1 μB/f.u.
&SYSTEM
  ibrav = 0, nat = 5, ntyp = 3
/
ATOMIC_SPECIES
Mn 54.94 Mn.upf
B 10.81 B.upf
Os 190.23 Os.upf
CELL_PARAMETERS angstrom
3.996 0.000 0.000
0.000 3.996 0.000
0.000 0.000 3.996
ATOMIC_POSITIONS crystal
Mn 0.000 0.000 0.000
B 0.000 0.500 0.500
B 0.500 0.000 0.500
B 0.500 0.500 0.000
Os 0.500 0.500 0.500


The structure with the greatest stability is P).


P) ! MnBP, relaxed, DFT PBE; values from VASP
! Size of the total moment: 0.9 μB/f.u.
&SYSTEM
  ibrav = 0, nat = 6, ntyp = 3
/
ATOMIC_SPECIES
Mn 54.94 Mn.upf
B 10.81 B.upf
P 30.97 P.upf
CELL_PARAMETERS angstrom
3.042 0.000 0.000
0.000 3.127 0.000
0.000 0.000 6.639
ATOMIC_POSITIONS crystal
Mn 0.000 0.000 0.000
Mn 0.500 0.500 0.500
B 0.000 0.500 0.231
B 0.500 0.000 0.731
P 0.000 0.000 0.386
P 0.500 0.500 0.886


Q) ! MnBP, relaxed, DFT PBE; values from VASP
! Size of the total moment: 1.9 μB/f.u.
&SYSTEM
  ibrav = 0, nat = 9, ntyp = 3
/
ATOMIC_SPECIES
Mn 54.94 Mn.upf
B 10.81 B.upf
P 30.97 P.upf
CELL_PARAMETERS angstrom
3.147 0.000 0.000
-1.574 2.726 0.000
0.000 0.000 11.071
ATOMIC_POSITIONS crystal
Mn 0.000 0.000 0.000
Mn 0.333 0.667 0.667
Mn 0.667 0.333 0.333
B 0.000 0.000 0.794
B 0.333 0.667 0.461
B 0.667 0.333 0.127
P 0.000 0.000 0.202
P 0.333 0.667 0.869
P 0.667 0.333 0.536


The structure with the greatest stability is Q).